First-principles (GGA-PBE) data for an optimized crystal structure of MgScInGa, as listed in Alexandria via LeMat-Bulk.

The space group is Pmmm (No. 47) and the conventional cell measures 4.237, 4.332 and 4.418 Å, with angles of 90.00, 90.00 and 90.00 degrees. The asymmetric unit holds Mg at (0.000, 0.000, 0.000), Sc at (0.000, 0.500, 0.500), In at (0.500, 0.500, 0.000) and Ga at (0.500, 0.000, 0.500).

Its energy above the most stable polymorph in this dataset is 0.00 eV/f.u. As for the crystal system: orthorhombic. The uncorrected energy comes out at -3.8028 eV/atom. Its formation energy is -380 meV/atom.



First-principles (GGA-PBE) data for an optimized crystal structure of InW3Br, as listed in Alexandria via LeMat-Bulk.

The space group is Pm-3m (No. 221) and the conventional cell measures 4.634, 4.634 and 4.634 Å, with angles of 90.00, 90.00 and 90.00 degrees. The asymmetric unit holds In at (0.000, 0.000, 0.000), W at (0.000, 0.500, 0.500) and Br at (0.500, 0.500, 0.500).

Its energy above the most stable polymorph in this dataset is 0.00 eV/f.u. For the formation energy (no corrections), the calculation gives 2.0476 eV per atom. As for the crystal system: cubic. The uncorrected energy comes out at -6.6065 eV/atom.



First-principles (GGA-PBE) data for an optimized crystal structure of Rb2YCBr6, as listed in Alexandria via LeMat-Bulk.

The space group is I4/mmm (No. 139) and the conventional cell measures 7.463, 7.463 and 12.451 Å, with angles of 90.00, 90.00 and 90.00 degrees. The asymmetric unit holds Rb at (0.000, 0.500, 0.250), Y at (0.000, 0.000, 0.000), C at (0.000, 0.000, 0.500), Br at (0.000, 0.000, 0.224) and Br at (0.234, 0.234, 0.500).

For the formation energy (no corrections), the calculation gives -0.8796 eV per atom. As for the crystal system: tetragonal. The uncorrected energy comes out at -3.6456 eV/atom.



First-principles (GGA-PBE) data for an optimized crystal structure of Ta5Re4Mo, as listed in Alexandria via LeMat-Bulk.

The space group is P4/mmm (No. 123) and the conventional cell measures 3.205, 3.205 and 16.071 Å, with angles of 90.00, 90.00 and 90.00 degrees. The asymmetric unit holds Ta at (0.000, 0.000, 0.000), Ta at (0.000, 0.000, 0.200), Ta at (0.000, 0.000, 0.399), Re at (0.500, 0.500, 0.100), Re at (0.500, 0.500, 0.299) and Mo at (0.500, 0.500, 0.500).

As for the crystal system: tetragonal. The uncorrected energy comes out at -12.3704 eV/atom. Its formation energy is -382 meV/atom.



> Among the records above, which one has the lowest uncorrected energy?

Ta5Re4Mo